1.
# GGA-PBE SrTbCdGe, optimized geometry
data_SrTbCdGe
_chemical_formula_sum 'Sr4 Tb4 Cd4 Ge4'
_cell_length_a 7.574
_cell_length_b 7.574
_cell_length_c 7.574
_cell_angle_alpha 90.00
_cell_angle_beta 90.00
_cell_angle_gamma 90.00
_space_group_name_H-M_alt 'F -4 3 m'
_space_group_IT_number 216
_space_group_name_Hall 'F -4 2 3'
loop_
_atom_site_label
_atom_site_fract_x
_atom_site_fract_y
_atom_site_fract_z
Sr1 0.000 0.000 0.000
Tb1 0.000 0.000 0.500
Cd1 0.250 0.250 0.750
Ge1 0.250 0.250 0.250
# Total moment ... 0.00 μB/f.u.
# Calculated total energy ... -3.338 eV per atom
# Calculated formation energy ... -0.38 eV/atom



2.
# GGA-PBE Ce2PuAsN5, optimized geometry
data_Ce2PuAsN5
_chemical_formula_sum 'Ce8 Pu4 As4 N20'
_cell_length_a 3.539
_cell_length_b 13.971
_cell_length_c 10.345
_cell_angle_alpha 90.00
_cell_angle_beta 90.00
_cell_angle_gamma 90.00
_space_group_name_H-M_alt 'C m c 21'
_space_group_IT_number 36
loop_
_space_group_symop_operation_xyz
'x,y,z'
'-x,-y,z+1/2'
'-x,y,z'
'x,-y,z+1/2'
'x+1/2,y+1/2,z'
'-x+1/2,-y+1/2,z+1/2'
'-x+1/2,y+1/2,z'
'x+1/2,-y+1/2,z+1/2'
loop_
_atom_site_label
_atom_site_fract_x
_atom_site_fract_y
_atom_site_fract_z
Ce1 0.000 0.114 0.000
Ce2 0.000 0.144 0.647
Pu1 0.000 0.192 0.351
As1 0.000 0.463 0.752
N1 0.000 0.021 0.330
N2 0.000 0.284 0.992
N3 0.000 0.329 0.695
N4 0.000 0.343 0.330
N5 0.000 0.484 0.092
# Raw formation energy ... -0.788 eV/atom
# Total moment ... 5.11 μB/f.u.
# Calculated total energy ... -8.841 eV per atom